Material: ZrBiS2
Method: DFT, PBEsol
State: relaxed

extended XYZ file:
```
4
Lattice="1.757 1.014 8.743 -1.757 1.014 8.743 0.000 -2.029 8.743" Properties=species:S:1:pos:R:3 pbc="T T T"
Zr 0.000 0.000 0.000
Bi 0.000 0.000 13.115
S 0.000 0.000 10.300
S 0.000 0.000 15.930
```

Calculated values
Formation energy from raw total energies: -1.13 eV/atom
DOS(E_F): 2.109 states/eV per cell


Material: ZrBiS3
Method: DFT, PBEsol
State: relaxed

extended XYZ file:
```
5
Lattice="4.907 0.000 0.000 0.000 4.907 0.000 0.000 0.000 4.907" Properties=species:S:1:pos:R:3 pbc="T T T"
Zr 0.000 0.000 0.000
Bi 2.454 2.454 2.454
S 0.000 0.000 2.454
S 0.000 2.454 0.000
S 2.454 0.000 0.000
```

Calculated values
Formation energy from raw total energies: -0.62 eV/atom
DOS(E_F): 2.935 states/eV per cell